Here is an optimized crystal structure of Ca2Y2Pd from the Alexandria database. Energies are from GGA-PBE.

## Properties
The calculation puts the energy of formation at -110.3 meV per atom.

```
10
Lattice="7.366 0.000 0.000 0.000 7.366 0.000 0.000 0.000 5.994" Properties=species:S:1:pos:R:3 pbc="T T T"
Ca 1.251 2.432 0.000
Ca 2.432 6.115 0.000
Ca 4.933 1.251 0.000
Ca 6.115 4.933 0.000
Y 1.188 4.871 2.997
Y 2.495 1.188 2.997
Y 4.871 6.178 2.997
Y 6.178 2.495 2.997
Pd 0.000 0.000 2.997
Pd 3.683 3.683 2.997
```